DFT (GGA-PBE) results for a relaxed structure of Cs2NpSnTe4.

Cell: 8.1547 4.6563 9.1452 Å, 90.00 106.58 90.00°
Closest atoms and distances in Å follow each position.
Sites, in units of the cell vectors:
Cs  0.0000  0.0000  0.0000  6 Te 3.79-3.82
Cs  0.5000  0.5000  0.0000  6 Te 3.90-3.93
Np  0.0000  0.5000  0.5000  6 Te 3.05-3.12
Sn  0.5000  0.0000  0.5000  6 Te 3.22
Te  0.2187  0.0000  0.6856  2 Np 3.12, 1 Sn 3.22
Te  0.2559  0.5000  0.3131  1 Np 3.05, 2 Sn 3.22
Te  0.7441  0.5000  0.6869  1 Np 3.05, 2 Sn 3.22
Te  0.7813  0.0000  0.3144  2 Np 3.12, 1 Sn 3.22

The calculation puts the formation energy (no corrections) at -6.064 eV per formula unit. The value obtained for the magnetization is 2.98 μB/cell. The space group is P2/m (10).

***

DFT (GGA-PBE) results for a relaxed structure of Cs3Np2SnTe6.

Cell: 8.0899 8.0899 9.2050 Å, 98.39 98.39 119.97°
Closest atoms and distances in Å follow each position.
Sites, in units of the cell vectors:
Cs  0.0000  0.0000  0.0000  6 Te 3.79-3.88
Cs  0.3386  0.6614  0.0000  6 Te 3.82-3.88
Cs  0.6614  0.3386  0.0000  6 Te 3.82-3.88
Np  0.1672  0.8328  0.5000  6 Te 3.12-3.13
Np  0.8328  0.1672  0.5000  6 Te 3.12-3.13
Sn  0.5000  0.5000  0.5000  6 Te 3.24-3.25
Te  0.0919  0.4369  0.3111  2 Np 3.13, 1 Sn 3.25
Te  0.2172  0.2172  0.6865  2 Np 3.12, 1 Sn 3.24
Te  0.4369  0.0919  0.3111  2 Np 3.13, 1 Sn 3.25
Te  0.5631  0.9081  0.6889  2 Np 3.13, 1 Sn 3.25
Te  0.7828  0.7828  0.3135  2 Np 3.12, 1 Sn 3.24
Te  0.9081  0.5631  0.6889  2 Np 3.13, 1 Sn 3.25

The calculation puts the formation energy (no corrections) at -9.811 eV per formula unit. The value obtained for the magnetization is 7.00 μB/cell. The space group is C2/m (12).

***

DFT (GGA-PBE) results for a relaxed structure of Cs3TbNp2Te6.

Cell: 7.9850 7.9850 9.3054 Å, 98.22 98.22 120.00°
Closest atoms and distances in Å follow each position.
Sites, in units of the cell vectors:
Cs  0.0000  0.0000  0.0000  6 Te 3.83-3.85
Cs  0.3332  0.6668  0.0000  6 Te 3.83-3.85
Cs  0.6668  0.3332  0.0000  6 Te 3.83-3.85
Tb  0.5000  0.5000  0.5000  6 Te 3.14
Np  0.1667  0.8333  0.5000  6 Te 3.16-3.17
Np  0.8333  0.1667  0.5000  6 Te 3.16-3.17
Te  0.1055  0.4365  0.3095  1 Tb 3.14, 2 Np 3.17
Te  0.2324  0.2324  0.6904  1 Tb 3.14, 2 Np 3.16
Te  0.4365  0.1055  0.3095  1 Tb 3.14, 2 Np 3.17
Te  0.5635  0.8945  0.6905  1 Tb 3.14, 2 Np 3.17
Te  0.7676  0.7676  0.3096  1 Tb 3.14, 2 Np 3.16
Te  0.8945  0.5635  0.6905  1 Tb 3.14, 2 Np 3.17

The calculation puts the formation energy (no corrections) at -12.579 eV per formula unit. The value obtained for the magnetization is 8.00 μB/cell. The space group is C2/m (12).